# PBE BaFe2Si, relaxed
data_BaFe2Si
_symmetry_space_group_name_H-M 'I m m m'
_symmetry_Int_Tables_number 71
_symmetry_space_group_name_Hall '-I 2 2'
_cell_length_a 4.206
_cell_length_b 6.012
_cell_length_c 7.276
_cell_angle_alpha 90.00
_cell_angle_beta 90.00
_cell_angle_gamma 90.00
loop_
_atom_site_label
_atom_site_fract_x
_atom_site_fract_y
_atom_site_fract_z
_atom_site_occupancy
Ba1 0.000 0.000 0.000 1
Fe1 0.000 0.500 0.151 1
Si1 0.000 0.000 0.500 1
# Density (kg/m³): 5002
# Formation energy from raw total energies (meV/atom): 497
# Raw total energy (eV per atom): -5.57